[1]
Entry from the Alexandria database: a relaxed structure of PrHg3Pd7 (PBE).

Cell lengths 5.5136, 7.3974, 7.3974 Å; angles 80.01, 120.82, 120.82 degrees
Closest atoms and distances in Å follow each position.
Element x y z (fractional)
Hg1 0.0000 0.2155 0.7845  7 Pd 2.71-2.83
Pd1 0.6815 0.9504 0.4212  3 Hg 2.76-2.83, 3 Pd 2.77-2.91, 1 Pr 2.99
Pd2 0.3185 0.5788 0.0496  3 Hg 2.76-2.83, 3 Pd 2.77-2.91, 1 Pr 2.99
Pd3 0.0000 0.5000 0.5000  2 Hg 2.71, 2 Pd 2.71, 2 Pr 2.76
Pr1 0.5000 0.5000 0.5000  8 Pd 2.76-2.99
Hg2 0.5000 0.0000 0.0000  6 Pd 2.76-2.84
Pd4 0.3863 0.2102 0.2102  5 Pd 2.71-2.91, 3 Hg 2.76-2.84, 1 Pr 2.90
Pd5 0.3185 0.0496 0.5788  3 Hg 2.76-2.83, 3 Pd 2.77-2.91, 1 Pr 2.99
Pd6 0.6137 0.7898 0.7898  5 Pd 2.71-2.91, 3 Hg 2.76-2.84, 1 Pr 2.90
Pd7 0.6815 0.4212 0.9504  3 Hg 2.76-2.83, 3 Pd 2.77-2.91, 1 Pr 2.99
Hg3 0.0000 0.7845 0.2155  7 Pd 2.71-2.83

SG ... C2/m, No. 12
Formation enthalpy at 0 K ... -154 meV per atom
M_tot ... 0.00 μB/atom

[2]
Entry from the Alexandria database: a relaxed structure of Pr2Hg3Pd2 (PBE).

Cell lengths 4.1240, 3.7772, 12.0915 Å; angles 90.00, 99.70, 90.00 degrees
Closest atoms and distances in Å follow each position.
Element x y z (fractional)
Hg1 0.0000 0.0000 0.0000  2 Pd 3.04
Pr1 0.4181 0.5000 0.8348  4 Pd 2.99
Pd1 0.1259 0.0000 0.2547  3 Hg 2.80-3.04, 4 Pr 2.99
Pr2 0.5819 0.5000 0.1652  4 Pd 2.99
Hg2 0.7056 0.0000 0.4138  2 Pd 2.80, 2 Hg 2.90-2.92
Hg3 0.2944 0.0000 0.5862  2 Pd 2.80, 2 Hg 2.90-2.92
Pd2 0.8741 0.0000 0.7453  3 Hg 2.80-3.04, 4 Pr 2.99

SG ... P2/m, No. 10
Offset from the most stable computed form ... 0.139 eV per atom
Formation enthalpy at 0 K ... -438 meV per atom
M_tot ... 0.00 μB/atom

[3]
Entry from the Alexandria database: a relaxed structure of PrHg6Pd6 (PBE).

Cell lengths 5.6489, 7.3474, 7.3474 Å; angles 79.24, 67.39, 67.39 degrees
Closest atoms and distances in Å follow each position.
Element x y z (fractional)
Hg1 0.6575 0.3425 0.3425  6 Pd 2.88-2.91, 1 Hg 3.09
Pd1 0.5000 0.5000 0.0000  6 Hg 2.82-2.94, 4 Pd 2.82-2.83
Pd2 0.0000 0.0000 0.5000  6 Hg 2.82-2.94, 4 Pd 2.82-2.83
Hg2 0.3194 0.1806 0.1806  6 Pd 2.82-2.84
Pd3 0.5000 0.0000 0.5000  6 Hg 2.82-2.94, 4 Pd 2.82-2.83
Pd4 0.0000 0.5000 0.0000  6 Hg 2.82-2.94, 4 Pd 2.82-2.83
Pd5 0.5000 0.7629 0.2371  4 Pd 2.83, 6 Hg 2.84-2.97
Pr1 0.0000 0.0000 0.0000  8 Hg 3.15-3.36
Hg3 0.3425 0.6575 0.6575  6 Pd 2.88-2.91, 1 Hg 3.09
Hg4 0.0000 0.3366 0.6634  6 Pd 2.94-2.97, 1 Hg 3.06, 1 Pr 3.15
Pd6 0.5000 0.2371 0.7629  4 Pd 2.83, 6 Hg 2.84-2.97
Hg5 0.0000 0.6634 0.3366  6 Pd 2.94-2.97, 1 Hg 3.06, 1 Pr 3.15
Hg6 0.6806 0.8194 0.8194  6 Pd 2.82-2.84

SG ... Immm, No. 71
Formation enthalpy at 0 K ... -321 meV per atom
M_tot ... 0.00 μB/atom

[4]
Entry from the Alexandria database: a relaxed structure of Pr3HgPd2 (PBE).

Cell lengths 8.0052, 8.0052, 8.0052 Å; angles 57.95, 57.95, 57.95 degrees
Closest atoms and distances in Å follow each position.
Element x y z (fractional)
Hg1 0.5000 0.5000 0.5000  2 Pd 2.91, 6 Pr 3.24
Pd1 0.8539 0.8539 0.8539  1 Hg 2.91, 6 Pr 3.04-3.05
Pd2 0.1461 0.1461 0.1461  1 Hg 2.91, 6 Pr 3.04-3.05
Pr1 0.5377 0.9623 0.2500  4 Pd 3.04-3.05, 2 Hg 3.24
Pr2 0.9623 0.2500 0.5377  4 Pd 3.04-3.05, 2 Hg 3.24
Pr3 0.2500 0.5377 0.9623  4 Pd 3.04-3.05, 2 Hg 3.24
Pr4 0.7500 0.4623 0.0377  4 Pd 3.04-3.05, 2 Hg 3.24
Pd3 0.6461 0.6461 0.6461  1 Hg 2.91, 6 Pr 3.04-3.05
Pr5 0.4623 0.0377 0.7500  4 Pd 3.04-3.05, 2 Hg 3.24
Hg2 0.0000 0.0000 0.0000  2 Pd 2.91, 6 Pr 3.24
Pr6 0.0377 0.7500 0.4623  4 Pd 3.04-3.05, 2 Hg 3.24
Pd4 0.3539 0.3539 0.3539  1 Hg 2.91, 6 Pr 3.04-3.05

SG ... R-3c, No. 167
Formation enthalpy at 0 K ... -532 meV per atom
M_tot ... 0.00 μB/atom

[5]
Entry from the Alexandria database: a relaxed structure of PrHg4Pd6 (PBE).

Cell lengths 7.1113, 7.1113, 7.1113 Å; angles 83.10, 124.06, 124.06 degrees
Closest atoms and distances in Å follow each position.
Element x y z (fractional)
Pr1 0.0000 0.0000 0.0000  8 Pd 3.31-3.34, 4 Hg 3.32
Pd1 0.0000 0.7453 0.4213  4 Pd 2.65-2.80, 4 Hg 2.68-2.94
Pd2 0.6760 0.2547 0.2547  4 Pd 2.65-2.80, 4 Hg 2.68-2.94
Pd3 0.5000 0.0000 0.5000  4 Pd 2.65
Pd4 0.0000 0.4213 0.7453  4 Pd 2.65-2.80, 4 Hg 2.68-2.94
Hg1 0.0000 0.0921 0.5317  4 Pd 2.68-2.94
Pd5 0.3240 0.5787 0.5787  4 Pd 2.65-2.80, 4 Hg 2.68-2.94
Hg2 0.5605 0.4683 0.4683  4 Pd 2.68-2.94
Hg3 0.0000 0.5317 0.0921  4 Pd 2.68-2.94
Pd6 0.5000 0.5000 0.0000  4 Pd 2.65
Hg4 0.4395 0.9079 0.9079  4 Pd 2.68-2.94

SG ... I-42m, No. 121
Formation enthalpy at 0 K ... -149 meV per atom
M_tot ... 0.00 μB/atom

[6]
Entry from the Alexandria database: a relaxed structure of Pr3Hg2Pd4 (PBE).

Cell lengths 4.5026, 5.5468, 9.3129 Å; angles 91.84, 90.00, 113.95 degrees
Closest atoms and distances in Å follow each position.
Element x y z (fractional)
Hg1 0.6720 0.3440 0.7781  5 Pd 2.83-2.85
Pd1 0.7082 0.4163 0.0823  3 Hg 2.84-2.85, 2 Pd 2.87, 4 Pr 2.93-3.16
Pr1 0.6294 0.2588 0.3818  6 Pd 2.93-3.24
Pd2 0.0761 0.1523 0.6232  1 Pd 2.72, 2 Hg 2.83, 1 Pr 2.99
Pr2 0.3706 0.7412 0.6182  6 Pd 2.93-3.24
Pr3 0.0000 0.0000 0.0000  6 Pd 3.08-3.16
Pd3 0.2918 0.5837 0.9177  3 Hg 2.84-2.85, 2 Pd 2.87, 4 Pr 2.93-3.16
Hg2 0.3280 0.6560 0.2219  5 Pd 2.83-2.85
Pd4 0.9239 0.8477 0.3768  1 Pd 2.72, 2 Hg 2.83, 1 Pr 2.99

SG ... C2/m, No. 12
Formation enthalpy at 0 K ... -642 meV per atom
M_tot ... 0.00 μB/atom

[7]
Entry from the Alexandria database: a relaxed structure of Pr3Hg2Pd3 (PBE).

Cell lengths 3.7774, 5.1073, 10.4953 Å; angles 104.08, 100.37, 90.00 degrees
Closest atoms and distances in Å follow each position.
Element x y z (fractional)
Pd1 0.8818 0.8818 0.7635  2 Hg 2.98, 6 Pr 3.03-3.19
Pr1 0.6306 0.6306 0.2612  6 Pd 3.19-3.22, 4 Hg 3.28-3.32
Hg1 0.7332 0.2332 0.4664  2 Pd 2.98, 4 Hg 3.25, 4 Pr 3.28-3.32
Pr2 0.3694 0.3694 0.7388  6 Pd 3.19-3.22, 4 Hg 3.28-3.32
Pd2 0.1182 0.1182 0.2365  2 Hg 2.98, 6 Pr 3.03-3.19
Hg2 0.2668 0.7668 0.5336  2 Pd 2.98, 4 Hg 3.25, 4 Pr 3.28-3.32
Pd3 0.0000 0.5000 0.0000  8 Pr 3.18-3.22, 4 Pd 3.48
Pr3 0.5000 0.0000 0.0000  8 Pd 3.03-3.18

SG ... Immm, No. 71
Formation enthalpy at 0 K ... -587 meV per atom
M_tot ... 0.00 μB/atom

[8]
Entry from the Alexandria database: a relaxed structure of Pr8Hg2Pd (PBE).

Cell lengths 5.1632, 9.0417, 8.9593 Å; angles 120.34, 106.61, 90.00 degrees
Closest atoms and distances in Å follow each position.
Element x y z (fractional)
Pr1 0.3432 0.1253 0.6867  3 Hg 3.25-3.33, 1 Pd 3.42, 2 Pr 3.47-3.48
Hg1 0.7948 0.2948 0.5894  10 Pr 3.25-3.59
Pr2 0.0000 0.6680 0.0000  1 Pr 3.04, 2 Hg 3.36
Pr3 0.1253 0.1233 0.2468  2 Pd 3.14-3.16, 2 Pr 3.50
Pr4 0.6567 0.4380 0.3130  3 Hg 3.25-3.33, 1 Pd 3.42, 2 Pr 3.47-3.48
Pr5 0.8747 0.8767 0.7532  2 Pd 3.14-3.16, 2 Pr 3.50
Pr6 0.0000 0.3320 0.0000  1 Pr 3.04, 2 Hg 3.36
Pr7 0.3433 0.5620 0.6871  3 Hg 3.25-3.33, 1 Pd 3.42, 2 Pr 3.47-3.48
Pd1 0.5000 0.0000 0.0000  8 Pr 3.14-3.43
Hg2 0.2052 0.7052 0.4106  10 Pr 3.25-3.59
Pr8 0.6568 0.8747 0.3132  3 Hg 3.25-3.33, 1 Pd 3.43, 2 Pr 3.47-3.48

SG ... C2/m, No. 12
Offset from the most stable computed form ... 0.087 eV per atom
Formation enthalpy at 0 K ... -189 meV per atom
M_tot ... 0.00 μB/atom

[9]
Entry from the Alexandria database: a relaxed structure of PrHgPd6 (PBE).

Cell lengths 5.2691, 5.2691, 5.2691 Å; angles 90.00, 90.00, 90.00 degrees
Closest atoms and distances in Å follow each position.
Element x y z (fractional)
Pd1 0.5000 0.7544 0.0000  2 Pd 2.59-2.68
Pr1 0.5000 0.5000 0.5000  12 Pd 2.96
Hg1 0.0000 0.0000 0.0000  12 Pd 2.94
Pd2 0.5000 0.2456 0.0000  2 Pd 2.59-2.68
Pd3 0.0000 0.5000 0.2456  2 Pd 2.59-2.68
Pd4 0.7544 0.0000 0.5000  2 Pd 2.59-2.68
Pd5 0.0000 0.5000 0.7544  2 Pd 2.59-2.68
Pd6 0.2456 0.0000 0.5000  2 Pd 2.59-2.68

SG ... Pm-3, No. 200
Formation enthalpy at 0 K ... -250 meV per atom
M_tot ... 0.00 μB/atom

[10]
Entry from the Alexandria database: a relaxed structure of Pr12Hg6Pd (PBE).

Cell lengths 8.3171, 8.3171, 8.3171 Å; angles 91.47, 91.47, 91.47 degrees
Closest atoms and distances in Å follow each position.
Element x y z (fractional)
Hg1 0.2775 0.1213 0.7247  7 Pr 3.23-3.58, 1 Pd 3.44, 2 Hg 3.59
Pr1 0.9520 0.8990 0.6450  1 Pd 3.06, 3 Pr 3.08-3.39, 2 Hg 3.25-3.28
Pr2 0.1010 0.3550 0.0480  1 Pd 3.06, 3 Pr 3.08-3.39, 2 Hg 3.25-3.28
Pr3 0.5648 0.1900 0.4592  4 Hg 3.23-3.41, 4 Pr 3.40-3.57
Hg2 0.1213 0.7247 0.2775  7 Pr 3.23-3.58, 1 Pd 3.44, 2 Hg 3.59
Hg3 0.8787 0.2753 0.7225  7 Pr 3.23-3.58, 1 Pd 3.44, 2 Hg 3.59
Pr4 0.8100 0.5408 0.4352  4 Hg 3.23-3.41, 4 Pr 3.40-3.57
Pr5 0.4592 0.5648 0.1900  4 Hg 3.23-3.41, 4 Pr 3.40-3.57
Pr6 0.0480 0.1010 0.3550  1 Pd 3.06, 3 Pr 3.08-3.39, 2 Hg 3.25-3.28
Hg4 0.7247 0.2775 0.1213  7 Pr 3.23-3.58, 1 Pd 3.44, 2 Hg 3.59
Pr7 0.5408 0.4352 0.8100  4 Hg 3.23-3.41, 4 Pr 3.40-3.57
Pr8 0.6450 0.9520 0.8990  1 Pd 3.06, 3 Pr 3.08-3.39, 2 Hg 3.25-3.28
Pr9 0.1900 0.4592 0.5648  4 Hg 3.23-3.41, 4 Pr 3.40-3.57
Pr10 0.4352 0.8100 0.5408  4 Hg 3.23-3.41, 4 Pr 3.40-3.57
Hg5 0.2753 0.7225 0.8787  7 Pr 3.23-3.58, 1 Pd 3.44, 2 Hg 3.59
Pr11 0.3550 0.0480 0.1010  1 Pd 3.06, 3 Pr 3.08-3.39, 2 Hg 3.25-3.28
Pd1 0.0000 0.0000 0.0000  6 Pr 3.06
Hg6 0.7225 0.8787 0.2753  7 Pr 3.23-3.58, 1 Pd 3.44, 2 Hg 3.59
Pr12 0.8990 0.6450 0.9520  1 Pd 3.06, 3 Pr 3.08-3.39, 2 Hg 3.25-3.28

SG ... R-3, No. 148
Formation enthalpy at 0 K ... -239 meV per atom
M_tot ... 0.00 μB/atom

[11]
Entry from the Alexandria database: a relaxed structure of Pr3HgPd (PBE).

Cell lengths 7.7697, 8.5409, 9.7717 Å; angles 111.01, 90.00, 90.00 degrees
Closest atoms and distances in Å follow each position.
Element x y z (fractional)
Hg1 0.1654 0.4409 0.4122  1 Hg 3.05, 6 Pr 3.06-3.37
Pr1 0.3394 0.1097 0.8120  3 Pd 2.92-3.13
Pr2 0.8394 0.3903 0.1880  3 Pd 2.92-3.13
Pd1 0.0359 0.3206 0.9142  7 Pr 2.92-3.24, 1 Pd 2.97
Hg2 0.8346 0.5591 0.5878  1 Hg 3.05, 6 Pr 3.06-3.37
Pr3 0.5173 0.2862 0.4283  4 Hg 3.06-3.37, 1 Pd 3.14, 1 Pr 3.42
Pr4 0.8221 0.9817 0.8580  3 Pd 3.17-3.24, 1 Hg 3.19
Pd2 0.5359 0.1794 0.0858  7 Pr 2.92-3.24, 1 Pd 2.97
Pr5 0.4827 0.7138 0.5717  4 Hg 3.06-3.37, 1 Pd 3.14, 1 Pr 3.42
Pr6 0.0173 0.2138 0.5717  4 Hg 3.06-3.37, 1 Pd 3.14, 1 Pr 3.42
Pd3 0.9641 0.6794 0.0858  7 Pr 2.92-3.24, 1 Pd 2.97
Hg3 0.3346 0.9409 0.4122  1 Hg 3.05, 6 Pr 3.06-3.37
Pr7 0.6606 0.8903 0.1880  3 Pd 2.92-3.13
Pr8 0.9827 0.7862 0.4283  4 Hg 3.06-3.37, 1 Pd 3.14, 1 Pr 3.42
Pr9 0.1779 0.0183 0.1420  3 Pd 3.17-3.24, 1 Hg 3.19
Hg4 0.6654 0.0591 0.5878  1 Hg 3.05, 6 Pr 3.06-3.37
Pr10 0.3221 0.5183 0.1420  3 Pd 3.17-3.24, 1 Hg 3.19
Pr11 0.1606 0.6097 0.8120  3 Pd 2.92-3.13
Pr12 0.6779 0.4817 0.8580  3 Pd 3.17-3.24, 1 Hg 3.19
Pd4 0.4641 0.8206 0.9142  7 Pr 2.92-3.24, 1 Pd 2.97

SG ... P2_1/c, No. 14
Offset from the most stable computed form ... 0.000 eV per atom
Formation enthalpy at 0 K ... -415 meV per atom
M_tot ... 0.00 μB/atom